# 1
## NdDy3Ho2 (PBE)

Data for a relaxed structure of NdDy3Ho2.

The space group is C2/c (No. 15) and the conventional cell measures 17.437, 7.115 and 6.157 Å, with angles of 90.00, 90.11 and 90.00 degrees. The asymmetric unit holds Nd at (0.000, 0.126, 0.250), Dy at (0.000, 0.376, 0.750), Dy at (0.168, 0.126, 0.916) and Ho at (0.167, 0.375, 0.418).

As for the density: 8.4 g/cm³. The value obtained for the energy above the most stable polymorph in this dataset is 0.13 eV/f.u. The value obtained for the energy of formation is 0.019 eV/atom. The calculation puts the calculated volume at 764 Å³ per cell.



# 2
## CaIn2Ni (PBE)

Data for a relaxed structure of CaIn2Ni.

The space group is Pnma (No. 62) and the conventional cell measures 15.795, 7.720 and 5.748 Å, with angles of 90.00, 90.00 and 90.00 degrees. The asymmetric unit holds Ca at (0.106, 0.250, 0.243), Ca at (0.137, 0.750, 0.036), In at (0.039, 0.054, 0.740), In at (0.213, 0.551, 0.532), Ni at (0.070, 0.750, 0.524) and Ni at (0.185, 0.250, 0.761).

As for the density: 6.2 g/cm³. The value obtained for the energy of formation is -0.363 eV/atom. The calculation puts the calculated volume at 701 Å³ per cell.



# 3
## Pm2Ga2Ir (PBE)

Data for a relaxed structure of Pm2Ga2Ir.

The space group is C2/m (No. 12) and the conventional cell measures 11.382, 4.020 and 11.756 Å, with angles of 90.00, 118.83 and 90.00 degrees. The asymmetric unit holds Pm at (0.090, 0.000, 0.385), Pm at (0.211, 0.500, 0.140), Ga at (0.032, 0.000, 0.912), Ga at (0.128, 0.500, 0.614) and Ir at (0.077, 0.500, 0.808).

As for the density: 8.8 g/cm³. The value obtained for the energy above the most stable polymorph in this dataset is 0.00 eV/f.u. The value obtained for the energy of formation is -0.682 eV/atom. The calculation puts the calculated volume at 471 Å³ per cell.



# 4
## MnAlAs2Se (PBE)

Data for a relaxed structure of MnAlAs2Se.

The space group is P4/mmm (No. 123) and the conventional cell measures 4.470, 4.470 and 5.380 Å, with angles of 90.00, 90.00 and 90.00 degrees. The asymmetric unit holds Mn at (0.000, 0.000, 0.000), Al at (0.500, 0.500, 0.500), As at (0.000, 0.500, 0.000) and Se at (0.000, 0.000, 0.500).

As for the density: 4.8 g/cm³. The value obtained for the energy above the most stable polymorph in this dataset is 0.00 eV/f.u. The value obtained for the formation energy (no corrections) is 346 meV per atom. The calculation puts the calculated volume at 107 Å³ per cell.



# 5
## NbAg2AuBr (PBE)

Data for a relaxed structure of NbAg2AuBr.

The space group is P4/mmm (No. 123) and the conventional cell measures 5.341, 5.341 and 4.853 Å, with angles of 90.00, 90.00 and 90.00 degrees. The asymmetric unit holds Nb at (0.000, 0.000, 0.000), Ag at (0.000, 0.500, 0.000), Au at (0.500, 0.500, 0.500) and Br at (0.000, 0.000, 0.500).

As for the density: 7.0 g/cm³. The value obtained for the formation energy (no corrections) is 997 meV per atom. The calculation puts the calculated volume at 138 Å³ per cell.



# 6
## SrZn11Ni (PBE)

Data for a relaxed structure of SrZn11Ni.

The space group is C2/m (No. 12) and the conventional cell measures 5.017, 12.860 and 6.946 Å, with angles of 90.00, 110.18 and 90.00 degrees. The asymmetric unit holds Sr at (0.000, 0.000, 0.000), Zn at (0.000, 0.000, 0.500), Zn at (0.107, 0.389, 0.232), Zn at (0.190, 0.173, 0.362), Zn at (0.250, 0.250, 0.000) and Ni at (0.000, 0.500, 0.500).

As for the density: 6.8 g/cm³. The value obtained for the energy of formation is -0.150 eV/atom. The calculation puts the calculated volume at 421 Å³ per cell.



The following total magnetization values (in μB/cell) correspond, in order, to the records above: 0.0, 0.0, 0.0, 1.2, 0.0, 0.0.